K2Dy2SiO6 (PBE-GGA, optimized geometry); space-group type = No. 12; formation energy without anion corrections = -60.6 kcal/mol of atoms
1.0
2.8282 -4.8327 0.0000
2.8282 4.8327 0.0000
-1.6565 0.0000 6.3399
K Dy Si O
2 2 1 6
Direct
0.1604 0.8396 0.0000 K
0.8396 0.1604 0.0000 K
0.3346 0.6654 0.5000 Dy
0.6654 0.3346 0.5000 Dy
0.0000 0.0000 0.5000 Si
0.0452 0.3305 0.6626 O
0.2233 0.2233 0.3380 O
0.3305 0.0452 0.6626 O
0.6695 0.9548 0.3374 O
0.7767 0.7767 0.6620 O
0.9548 0.6695 0.3374 O